Compound: Cr2HRu
Source: the Alexandria database
Functional: GGA-PBE
Structure: optimized geometry

* V: 11.3 Å³/atom
* symmetry: Fm-3m, No. 225
* distance to the lowest polymorph of the same formula: 729 meV per atom
* N(E_F): 6.9 states/eV/cell
* magnetization: 0.2300 μB per atom
* mass density: 7603 kg/m3

Unit cell a=3.993 b=3.993 c=3.993 alpha=60.00 beta=60.00 gamma=60.00
Fractional positions:
Cr (0.250, 0.250, 0.250)
Cr (0.750, 0.750, 0.750)
H (0.000, 0.000, 0.000)
Ru (0.500, 0.500, 0.500)



Compound: NaSm2Te
Source: the Alexandria database
Functional: GGA-PBE
Structure: optimized geometry

* V: 39.3 Å³/atom
* energy relative to the elements, uncorrected: -0.326 eV/atom
* symmetry: R-3m, No. 166
* N(E_F): 4.5 states/eV/cell
* magnetization: 0.0005 μB per atom
* mass density: 4766 kg/m3

Unit cell a=11.452 b=11.452 c=11.452 alpha=20.24 beta=20.24 gamma=20.24
Fractional positions:
Na (0.000, 0.000, 0.000)
Sm (0.108, 0.108, 0.108)
Sm (0.892, 0.892, 0.892)
Te (0.500, 0.500, 0.500)



Compound: Na2YMgRe
Source: the Alexandria database
Functional: GGA-PBE
Structure: optimized geometry

* V: 32.2 Å³/atom
* symmetry: P4/mmm, No. 123
* electronic total energy: -0.130 hartree per atom
* N(E_F): 3.6 states/eV/cell
* magnetization: 0.0000 μB per atom
* mass density: 3561 kg/m3

Unit cell a=5.612 b=5.612 c=5.114 alpha=90.00 beta=90.00 gamma=90.00
Fractional positions:
Na (0.000, 0.500, 0.000)
Na (0.500, 0.000, 0.000)
Y (0.000, 0.000, 0.500)
Mg (0.500, 0.500, 0.500)
Re (0.000, 0.000, 0.000)



Compound: Co5Te12Pd
Source: the Alexandria database
Functional: GGA-PBE
Structure: optimized geometry

* V: 24.1 Å³/atom
* energy relative to the elements, uncorrected: -0.207 eV/atom
* symmetry: C2/m, No. 12
* N(E_F): 9.7 states/eV/cell
* magnetization: 0.0000 μB per atom
* mass density: 7410 kg/m3

Unit cell a=6.579 b=6.579 c=11.752 alpha=95.39 beta=95.39 gamma=119.92
Fractional positions:
Co (0.000, 0.000, 0.000)
Co (0.167, 0.833, 0.500)
Co (0.331, 0.669, 0.000)
Co (0.669, 0.331, 0.000)
Co (0.833, 0.167, 0.500)
Te (0.039, 0.372, 0.115)
Te (0.107, 0.107, 0.380)
Te (0.188, 0.540, 0.620)
Te (0.295, 0.295, 0.887)
Te (0.372, 0.039, 0.115)
Te (0.460, 0.812, 0.380)
Te (0.540, 0.188, 0.620)
Te (0.628, 0.961, 0.885)
Te (0.705, 0.705, 0.113)
Te (0.812, 0.460, 0.380)
Te (0.893, 0.893, 0.620)
Te (0.961, 0.628, 0.885)
Pd (0.500, 0.500, 0.500)



Compound: CaScCo2
Source: the Alexandria database
Functional: GGA-PBE
Structure: optimized geometry

* V: 17.2 Å³/atom
* symmetry: Pmmm, No. 47
* distance to the lowest polymorph of the same formula: 63 meV per atom
* N(E_F): 5.4 states/eV/cell
* magnetization: 0.0920 μB per atom
* mass density: 4897 kg/m3

Unit cell a=3.198 b=3.248 c=6.624 alpha=90.00 beta=90.00 gamma=90.00
Fractional positions:
Ca (0.000, 0.000, 0.000)
Sc (0.000, 0.000, 0.500)
Co (0.500, 0.500, 0.292)
Co (0.500, 0.500, 0.708)



Compound: LiV
Source: the Alexandria database
Functional: GGA-PBE
Structure: optimized geometry

* V: 16.3 Å³/atom
* symmetry: P4/mcc, No. 124
* distance to the lowest polymorph of the same formula: 188 meV per atom
* N(E_F): 19.0 states/eV/cell
* magnetization: 0.0003 μB per atom
* mass density: 2945 kg/m3

Unit cell a=7.499 b=7.499 c=4.643 alpha=90.00 beta=90.00 gamma=90.00
Fractional positions:
Li (0.067, 0.270, 0.000)
Li (0.067, 0.730, 0.500)
Li (0.270, 0.067, 0.500)
Li (0.270, 0.933, 0.000)
Li (0.730, 0.067, 0.000)
Li (0.730, 0.933, 0.500)
Li (0.933, 0.270, 0.500)
Li (0.933, 0.730, 0.000)
V (0.285, 0.433, 0.500)
V (0.285, 0.567, 0.000)
V (0.433, 0.285, 0.000)
V (0.433, 0.715, 0.500)
V (0.567, 0.285, 0.500)
V (0.567, 0.715, 0.000)
V (0.715, 0.433, 0.000)
V (0.715, 0.567, 0.500)



Compound: Cs3Zr3USe8
Source: the Alexandria database
Functional: GGA-PBE
Structure: optimized geometry

* V: 31.1 Å³/atom
* energy relative to the elements, uncorrected: -1.326 eV/atom
* symmetry: R-3m, No. 166
* N(E_F): 6.1 states/eV/cell
* magnetization: 0.1969 μB per atom
* mass density: 5497 kg/m3

Unit cell a=9.744 b=9.744 c=9.744 alpha=47.86 beta=47.86 gamma=47.86
Fractional positions:
Cs (0.000, 0.500, 0.500)
Cs (0.500, 0.000, 0.500)
Cs (0.500, 0.500, 0.000)
Zr (0.000, 0.000, 0.500)
Zr (0.000, 0.500, 0.000)
Zr (0.500, 0.000, 0.000)
U (0.500, 0.500, 0.500)
Se (0.216, 0.736, 0.736)
Se (0.228, 0.228, 0.228)
Se (0.264, 0.264, 0.784)
Se (0.264, 0.784, 0.264)
Se (0.736, 0.216, 0.736)
Se (0.736, 0.736, 0.216)
Se (0.772, 0.772, 0.772)
Se (0.784, 0.264, 0.264)



Compound: SmGaGe2
Source: the Alexandria database
Functional: GGA-PBE
Structure: optimized geometry

* V: 20.7 Å³/atom
* symmetry: P4/mmm, No. 123
* distance to the lowest polymorph of the same formula: 0 meV per atom
* N(E_F): 1.0 states/eV/cell
* magnetization: 0.0000 μB per atom
* mass density: 7314 kg/m3

Unit cell a=4.341 b=4.341 c=4.401 alpha=90.00 beta=90.00 gamma=90.00
Fractional positions:
Sm (0.000, 0.000, 0.000)
Ga (0.500, 0.500, 0.000)
Ge (0.000, 0.500, 0.500)
Ge (0.500, 0.000, 0.500)



Compound: Sc2TlInS
Source: the Alexandria database
Functional: GGA-PBE
Structure: optimized geometry

* V: 32.1 Å³/atom
* energy relative to the elements, uncorrected: 0.536 eV/atom
* symmetry: P4/mmm, No. 123
* N(E_F): 6.2 states/eV/cell
* magnetization: 0.0000 μB per atom
* mass density: 4567 kg/m3

Unit cell a=5.447 b=5.447 c=5.406 alpha=90.00 beta=90.00 gamma=90.00
Fractional positions:
Sc (0.000, 0.500, 0.000)
Sc (0.500, 0.000, 0.000)
Tl (0.000, 0.000, 0.000)
In (0.000, 0.000, 0.500)
S (0.500, 0.500, 0.500)



Compound: Pr6DyTl
Source: the Alexandria database
Functional: GGA-PBE
Structure: optimized geometry

* V: 33.6 Å³/atom
* symmetry: P4/mmm, No. 123
* electronic total energy: -0.167 hartree per atom
* N(E_F): 9.1 states/eV/cell
* magnetization: 0.0000 μB per atom
* mass density: 7500 kg/m3

Unit cell a=5.069 b=5.069 c=10.445 alpha=90.00 beta=90.00 gamma=90.00
Fractional positions:
Pr (0.000, 0.000, 0.000)
Pr (0.000, 0.000, 0.500)
Pr (0.000, 0.500, 0.244)
Pr (0.000, 0.500, 0.756)
Pr (0.500, 0.000, 0.244)
Pr (0.500, 0.000, 0.756)
Dy (0.500, 0.500, 0.500)
Tl (0.500, 0.500, 0.000)



Compound: Tb2Pr12Nd
Source: the Alexandria database
Functional: GGA-PBE
Structure: optimized geometry

* V: 36.2 Å³/atom
* symmetry: Cmme, No. 67
* electronic total energy: -0.169 hartree per atom
* N(E_F): 42.8 states/eV/cell
* magnetization: 0.0000 μB per atom
* mass density: 6585 kg/m3

Unit cell a=6.923 b=6.923 c=25.323 alpha=90.00 beta=90.00 gamma=116.53
Fractional positions:
Tb (0.250, 0.750, 0.232)
Tb (0.250, 0.750, 0.772)
Tb (0.750, 0.250, 0.228)
Tb (0.750, 0.250, 0.768)
Pr (0.002, 0.502, 0.631)
Pr (0.003, 0.997, 0.426)
Pr (0.021, 0.521, 0.084)
Pr (0.025, 0.975, 0.940)
Pr (0.250, 0.250, 0.175)
Pr (0.250, 0.250, 0.300)
Pr (0.250, 0.250, 0.700)
Pr (0.250, 0.250, 0.825)
Pr (0.475, 0.525, 0.940)
Pr (0.479, 0.979, 0.084)
Pr (0.497, 0.503, 0.426)
Pr (0.498, 0.998, 0.631)
Pr (0.502, 0.002, 0.369)
Pr (0.503, 0.497, 0.574)
Pr (0.521, 0.021, 0.916)
Pr (0.525, 0.475, 0.060)
Pr (0.750, 0.750, 0.175)
Pr (0.750, 0.750, 0.300)
Pr (0.750, 0.750, 0.700)
Pr (0.750, 0.750, 0.825)
Pr (0.975, 0.025, 0.060)
Pr (0.979, 0.479, 0.916)
Pr (0.997, 0.003, 0.574)
Pr (0.998, 0.498, 0.369)
Nd (0.250, 0.750, 0.501)
Nd (0.750, 0.250, 0.499)



Compound: TiV2Ga
Source: the Alexandria database
Functional: GGA-PBE
Structure: optimized geometry

* V: 14.5 Å³/atom
* symmetry: P4/mmm, No. 123
* electronic total energy: -0.275 hartree per atom
* N(E_F): 5.0 states/eV/cell
* magnetization: 0.0001 μB per atom
* mass density: 6279 kg/m3

Unit cell a=3.708 b=3.708 c=4.221 alpha=90.00 beta=90.00 gamma=90.00
Fractional positions:
Ti (0.000, 0.000, 0.000)
V (0.000, 0.500, 0.500)
V (0.500, 0.000, 0.500)
Ga (0.500, 0.500, 0.000)



Compound: TmNp4O10
Source: the Alexandria database
Functional: GGA-PBE
Structure: optimized geometry

* V: 12.8 Å³/atom
* energy relative to the elements, uncorrected: -3.193 eV/atom
* symmetry: I4/mmm, No. 139
* N(E_F): 27.5 states/eV/cell
* magnetization: 0.7333 μB per atom
* mass density: 11032 kg/m3

Unit cell a=13.650 b=13.650 c=13.650 alpha=164.04 beta=164.04 gamma=22.64
Fractional positions:
Tm (0.000, 0.000, 0.000)
Np (0.199, 0.199, 0.000)
Np (0.403, 0.403, 0.000)
Np (0.597, 0.597, 0.000)
Np (0.801, 0.801, 0.000)
O (0.051, 0.551, 0.500)
O (0.150, 0.650, 0.500)
O (0.250, 0.750, 0.500)
O (0.350, 0.850, 0.500)
O (0.449, 0.949, 0.500)
O (0.551, 0.051, 0.500)
O (0.650, 0.150, 0.500)
O (0.750, 0.250, 0.500)
O (0.850, 0.350, 0.500)
O (0.949, 0.449, 0.500)



Compound: Tm4TcSn
Source: the Alexandria database
Functional: GGA-PBE
Structure: optimized geometry

* V: 27.0 Å³/atom
* symmetry: C2/c, No. 15
* electronic total energy: -0.211 hartree per atom
* N(E_F): 10.3 states/eV/cell
* magnetization: 0.0000 μB per atom
* mass density: 9143 kg/m3

Unit cell a=7.944 b=7.944 c=6.078 alpha=102.93 beta=102.93 gamma=112.58
Fractional positions:
Tm (0.058, 0.721, 0.936)
Tm (0.208, 0.350, 0.660)
Tm (0.279, 0.942, 0.564)
Tm (0.350, 0.208, 0.160)
Tm (0.650, 0.792, 0.840)
Tm (0.721, 0.058, 0.436)
Tm (0.792, 0.650, 0.340)
Tm (0.942, 0.279, 0.064)
Tc (0.000, 0.000, 0.250)
Tc (0.000, 0.000, 0.750)
Sn (0.371, 0.629, 0.250)
Sn (0.629, 0.371, 0.750)



Compound: BaZr2Bi2
Source: the Alexandria database
Functional: GGA-PBE
Structure: optimized geometry

* V: 31.8 Å³/atom
* symmetry: I4/mmm, No. 139
* distance to the lowest polymorph of the same formula: 0 meV per atom
* N(E_F): 5.3 states/eV/cell
* magnetization: 0.0000 μB per atom
* mass density: 7714 kg/m3

Unit cell a=8.267 b=8.267 c=8.267 alpha=147.92 beta=147.92 gamma=46.00
Fractional positions:
Ba (0.000, 0.000, 0.000)
Zr (0.250, 0.750, 0.500)
Zr (0.750, 0.250, 0.500)
Bi (0.382, 0.382, 0.000)
Bi (0.618, 0.618, 0.000)



Compound: Ac3TmPb
Source: the Alexandria database
Functional: GGA-PBE
Structure: optimized geometry

* V: 38.7 Å³/atom
* symmetry: P2_1/m, No. 11
* electronic total energy: -0.156 hartree per atom
* N(E_F): 12.5 states/eV/cell
* magnetization: 0.0000 μB per atom
* mass density: 9061 kg/m3

Unit cell a=7.077 b=6.043 c=9.292 alpha=90.00 beta=102.84 gamma=90.00
Fractional positions:
Ac (0.169, 0.250, 0.018)
Ac (0.252, 0.750, 0.746)
Ac (0.317, 0.250, 0.457)
Ac (0.683, 0.750, 0.543)
Ac (0.748, 0.250, 0.254)
Ac (0.831, 0.750, 0.982)
Tm (0.400, 0.750, 0.164)
Tm (0.600, 0.250, 0.836)
Pb (0.068, 0.750, 0.347)
Pb (0.932, 0.250, 0.653)



Compound: Tb3CuRh8
Source: the Alexandria database
Functional: GGA-PBE
Structure: optimized geometry

* V: 17.5 Å³/atom
* symmetry: R3m, No. 160
* electronic total energy: -0.254 hartree per atom
* N(E_F): 7.5 states/eV/cell
* magnetization: 0.0000 μB per atom
* mass density: 10779 kg/m3

Unit cell a=9.186 b=9.186 c=9.186 alpha=33.48 beta=33.48 gamma=33.48
Fractional positions:
Tb (0.000, 0.000, 0.000)
Tb (0.130, 0.130, 0.130)
Tb (0.614, 0.614, 0.614)
Cu (0.488, 0.488, 0.488)
Rh (0.061, 0.061, 0.562)
Rh (0.061, 0.562, 0.061)
Rh (0.063, 0.563, 0.563)
Rh (0.312, 0.312, 0.312)
Rh (0.562, 0.061, 0.061)
Rh (0.563, 0.063, 0.563)
Rh (0.563, 0.563, 0.063)
Rh (0.812, 0.812, 0.812)



Compound: PmPrCu
Source: the Alexandria database
Functional: GGA-PBE
Structure: optimized geometry

* V: 26.6 Å³/atom
* symmetry: P3m1, No. 156
* distance to the lowest polymorph of the same formula: 163 meV per atom
* N(E_F): 2.6 states/eV/cell
* magnetization: 0.0000 μB per atom
* mass density: 7268 kg/m3

Unit cell a=4.887 b=4.887 c=3.860 alpha=90.00 beta=90.00 gamma=120.00
Fractional positions:
Pm (0.000, 0.000, 0.000)
Pr (0.333, 0.667, 0.563)
Cu (0.667, 0.333, 0.259)



Compound: FePdI2
Source: the Alexandria database
Functional: GGA-PBE
Structure: optimized geometry

* V: 20.4 Å³/atom
* energy relative to the elements, uncorrected: 0.840 eV/atom
* symmetry: Fm-3m, No. 225
* distance to the lowest polymorph of the same formula: 464 meV per atom
* N(E_F): 2.7 states/eV/cell
* magnetization: 0.0004 μB per atom
* mass density: 8480 kg/m3

Unit cell a=4.866 b=4.866 c=4.866 alpha=60.00 beta=60.00 gamma=60.00
Fractional positions:
Fe (0.000, 0.000, 0.000)
Pd (0.500, 0.500, 0.500)
I (0.250, 0.250, 0.250)
I (0.750, 0.750, 0.750)



Compound: Zn2FeCl
Source: the Alexandria database
Functional: GGA-PBE
Structure: optimized geometry

* V: 20.1 Å³/atom
* energy relative to the elements, uncorrected: 0.302 eV/atom
* symmetry: I-42d, No. 122
* distance to the lowest polymorph of the same formula: 314 meV per atom
* N(E_F): 5.8 states/eV/cell
* magnetization: 0.7484 μB per atom
* mass density: 4576 kg/m3

Unit cell a=6.367 b=6.367 c=6.367 alpha=97.37 beta=97.37 gamma=138.01
Fractional positions:
Zn (0.045, 0.625, 0.920)
Zn (0.375, 0.295, 0.420)
Zn (0.705, 0.125, 0.080)
Zn (0.875, 0.955, 0.580)
Fe (0.000, 0.000, 0.000)
Fe (0.750, 0.250, 0.500)
Cl (0.250, 0.750, 0.500)
Cl (0.500, 0.500, 0.000)



Compound: KLiZnPb
Source: the Alexandria database
Functional: GGA-PBE
Structure: optimized geometry

* V: 25.2 Å³/atom
* symmetry: F-43m, No. 216
* electronic total energy: -0.075 hartree per atom
* N(E_F): 1.2 states/eV/cell
* magnetization: 0.0000 μB per atom
* mass density: 5254 kg/m3

Unit cell a=5.222 b=5.222 c=5.222 alpha=60.00 beta=60.00 gamma=60.00
Fractional positions:
K (0.000, 0.000, 0.000)
Li (0.750, 0.750, 0.750)
Zn (0.250, 0.250, 0.250)
Pb (0.500, 0.500, 0.500)



Compound: CdRuBr2
Source: the Alexandria database
Functional: GGA-PBE
Structure: optimized geometry

* V: 24.9 Å³/atom
* energy relative to the elements, uncorrected: 0.215 eV/atom
* symmetry: Cmm2, No. 35
* distance to the lowest polymorph of the same formula: 247 meV per atom
* N(E_F): 1.6 states/eV/cell
* magnetization: 0.4188 μB per atom
* mass density: 6224 kg/m3

Unit cell a=3.467 b=3.467 c=8.957 alpha=90.00 beta=90.00 gamma=112.33
Fractional positions:
Cd (0.000, 0.000, 0.000)
Ru (0.500, 0.500, 0.769)
Br (0.000, 0.000, 0.597)
Br (0.500, 0.500, 0.211)



Compound: Pm6CdNi2
Source: the Alexandria database
Functional: GGA-PBE
Structure: optimized geometry

* V: 27.4 Å³/atom
* symmetry: Immm, No. 71
* electronic total energy: -0.176 hartree per atom
* N(E_F): 19.4 states/eV/cell
* magnetization: 0.0000 μB per atom
* mass density: 7400 kg/m3

Unit cell a=8.635 b=8.635 c=8.635 alpha=113.48 beta=108.89 gamma=106.13
Fractional positions:
Pm (0.029, 0.230, 0.799)
Pm (0.182, 0.294, 0.475)
Pm (0.182, 0.706, 0.888)
Pm (0.323, 0.015, 0.692)
Pm (0.323, 0.631, 0.308)
Pm (0.431, 0.230, 0.201)
Pm (0.569, 0.770, 0.799)
Pm (0.677, 0.369, 0.692)
Pm (0.677, 0.985, 0.308)
Pm (0.818, 0.294, 0.112)
Pm (0.818, 0.706, 0.525)
Pm (0.971, 0.770, 0.201)
Cd (0.000, 0.000, 0.000)
Cd (0.500, 0.500, 0.000)
Ni (0.121, 0.621, 0.500)
Ni (0.356, 0.000, 0.356)
Ni (0.644, 0.000, 0.644)
Ni (0.879, 0.379, 0.500)